VASP calculation (GGA-PBE) on a geometry-optimized Ta2SiRu structure.

Cell: 3.724 3.164 10.899 Å, 90.00 90.00 90.00°
Space group Amm2 (No. 38)
One atom of each set of equivalent atoms:
Ta1 0.000 0.000 0.000 [2 per cell]
Ta2 0.500 0.000 0.340 [2 per cell]
Si1 0.000 0.000 0.752 [2 per cell]
Ru1 0.500 0.000 0.606 [2 per cell]

Calculated values
E = -10.003 eV per atom
total moment = 0.00 μB/cell
energy relative to the elements, uncorrected = -155 kJ/mol of formula units
N(E_F) = 0.553 states/eV per atom


VASP calculation (GGA-PBE) on a geometry-optimized Ta2SiRu structure.

Cell: 3.875 3.875 18.412 Å, 90.00 90.00 90.00°
Space group I-42d (No. 122)
One atom of each set of equivalent atoms:
Ta1 0.238 0.250 0.125 [8 per cell]
Si1 0.000 0.000 0.000 [4 per cell]
Ru1 0.000 0.000 0.500 [4 per cell]

Calculated values
E = -9.248 eV per atom
total moment = 0.00 μB/cell
energy relative to the elements, uncorrected = 136 kJ/mol of formula units
N(E_F) = 0.494 states/eV per atom


VASP calculation (GGA-PBE) on a geometry-optimized Ta4Si6Ru7 structure.

Cell: 7.920 7.920 7.920 Å, 90.00 90.00 90.00°
Space group Im-3m (No. 229)
One atom of each set of equivalent atoms:
Ta1 0.250 0.250 0.250 [8 per cell]
Si1 0.000 0.000 0.311 [12 per cell]
Ru1 0.000 0.000 0.000 [2 per cell]
Ru2 0.000 0.250 0.500 [12 per cell]

Calculated values
E = -9.042 eV per atom
total moment = 0.00 μB/cell
energy relative to the elements, uncorrected = -852 kJ/mol of formula units
N(E_F) = 0.750 states/eV per atom


VASP calculation (GGA-PBE) on a geometry-optimized Ta2SiRu structure.

Cell: 2.8961 2.8961 26.5088 Å, 90.00 90.00 120.00°
Space group R-3m (No. 166, hexagonal axes)
One atom of each set of equivalent atoms:
Ta1 0.0000 0.0000 0.2494 [6 per cell]
Si1 0.0000 0.0000 0.5000 [3 per cell]
Ru1 0.0000 0.0000 0.0000 [3 per cell]

Calculated values
E = -9.623 eV per atom
total moment = 0.00 μB/cell
energy relative to the elements, uncorrected = -9 kJ/mol of formula units
N(E_F) = 1.481 states/eV per atom


VASP calculation (GGA-PBE) on a geometry-optimized Ta2SiRu structure.

Cell: 3.231 4.338 8.816 Å, 90.00 90.00 90.00°
Space group Immm (No. 71)
One atom of each set of equivalent atoms:
Ta1 0.000 0.000 0.249 [4 per cell]
Si1 0.000 0.500 0.000 [2 per cell]
Ru1 0.000 0.500 0.500 [2 per cell]

Calculated values
E = -9.927 eV per atom
total moment = 0.00 μB/cell
energy relative to the elements, uncorrected = -126 kJ/mol of formula units
N(E_F) = 0.516 states/eV per atom


VASP calculation (GGA-PBE) on a geometry-optimized Ta2SiRu structure.

Cell: 5.541 7.763 2.935 Å, 90.00 90.00 90.00°
Space group Cmmm (No. 65)
One atom of each set of equivalent atoms:
Ta1 0.250 0.250 0.000 [4 per cell]
Si1 0.000 0.000 0.500 [2 per cell]
Ru1 0.000 0.500 0.500 [2 per cell]

Calculated values
E = -9.868 eV per atom
total moment = 0.00 μB/cell
energy relative to the elements, uncorrected = -103 kJ/mol of formula units
N(E_F) = 0.856 states/eV per atom


VASP calculation (GGA-PBE) on a geometry-optimized Ta2SiRu structure.

Cell: 3.953 4.363 7.345 Å, 90.00 90.00 90.00°
Space group Cmmm (No. 65)
One atom of each set of equivalent atoms:
Ta1 0.000 0.000 0.246 [4 per cell]
Si1 0.000 0.500 0.500 [2 per cell]
Ru1 0.000 0.500 0.000 [2 per cell]

Calculated values
E = -9.814 eV per atom
total moment = 0.00 μB/cell
energy relative to the elements, uncorrected = -82 kJ/mol of formula units
N(E_F) = 0.696 states/eV per atom


VASP calculation (GGA-PBE) on a geometry-optimized Ta2SiRu structure.

Cell: 10.349 3.038 4.431 Å, 90.00 115.27 90.00°
Space group Cm (No. 8)
One atom of each set of equivalent atoms:
Ta1 0.000 0.000 0.000 [2 per cell]
Ta2 0.233 0.000 0.735 [2 per cell]
Si1 0.267 0.500 0.268 [2 per cell]
Ru1 0.479 0.000 0.479 [2 per cell]

Calculated values
E = -9.899 eV per atom
total moment = 0.00 μB/cell
energy relative to the elements, uncorrected = -115 kJ/mol of formula units
N(E_F) = 0.615 states/eV per atom


VASP calculation (GGA-PBE) on a geometry-optimized TaSiRu3 structure.

Cell: 4.319 4.319 4.319 Å, 90.00 90.00 90.00°
Space group Pm-3m (No. 221)
One atom of each set of equivalent atoms:
Ta1 0.000 0.000 0.000 [1 per cell]
Si1 0.500 0.500 0.500 [1 per cell]
Ru1 0.000 0.500 0.500 [3 per cell]

Calculated values
E = -8.670 eV per atom
ΔE to the lowest computed polymorph = 0 meV/atom
total moment = 0.00 μB/cell
energy relative to the elements, uncorrected = 169 kJ/mol of formula units
N(E_F) = 0.699 states/eV per atom


VASP calculation (GGA-PBE) on a geometry-optimized Ta2SiRu structure.

Cell: 3.940 3.940 8.101 Å, 90.00 90.00 90.00°
Space group I4/mmm (No. 139)
One atom of each set of equivalent atoms:
Ta1 0.000 0.500 0.250 [4 per cell]
Si1 0.000 0.000 0.000 [2 per cell]
Ru1 0.000 0.000 0.500 [2 per cell]

Calculated values
E = -9.855 eV per atom
total moment = 0.00 μB/cell
energy relative to the elements, uncorrected = -98 kJ/mol of formula units
N(E_F) = 0.968 states/eV per atom


VASP calculation (GGA-PBE) on a geometry-optimized TaSi2Ru3 structure.

Cell: 2.946 2.946 9.497 Å, 90.00 90.00 90.00°
Space group P4/mmm (No. 123)
One atom of each set of equivalent atoms:
Ta1 0.000 0.000 0.000 [1 per cell]
Si1 0.000 0.000 0.342 [2 per cell]
Ru1 0.500 0.500 0.196 [2 per cell]
Ru2 0.500 0.500 0.500 [1 per cell]

Calculated values
E = -8.984 eV per atom
total moment = 0.00 μB/cell
energy relative to the elements, uncorrected = -326 kJ/mol of formula units
N(E_F) = 0.598 states/eV per atom


VASP calculation (GGA-PBE) on a geometry-optimized Ta2SiRu structure.

Cell: 2.9288 2.9288 26.0420 Å, 90.00 90.00 120.00°
Space group R3m (No. 160, hexagonal axes)
One atom of each set of equivalent atoms:
Ta1 0.0000 0.0000 0.0000 [3 per cell]
Ta2 0.0000 0.0000 0.2371 [3 per cell]
Si1 0.0000 0.0000 0.4873 [3 per cell]
Ru1 0.0000 0.0000 0.7512 [3 per cell]

Calculated values
E = -9.669 eV per atom
total moment = 0.00 μB/cell
energy relative to the elements, uncorrected = -26 kJ/mol of formula units
N(E_F) = 0.819 states/eV per atom


VASP calculation (GGA-PBE) on a geometry-optimized TaSiRu3 structure.

Cell: 4.689 4.689 4.689 Å, 90.00 90.00 90.00°
Space group Pm-3m (No. 221)
One atom of each set of equivalent atoms:
Ta1 0.000 0.000 0.000 [1 per cell]
Si1 0.500 0.500 0.500 [1 per cell]
Ru1 0.000 0.000 0.500 [3 per cell]

Calculated values
E = -7.344 eV per atom
ΔE to the lowest computed polymorph = 1326 meV/atom
total moment = 0.01 μB/cell
energy relative to the elements, uncorrected = 809 kJ/mol of formula units
N(E_F) = 1.527 states/eV per atom


VASP calculation (GGA-PBE) on a geometry-optimized Ta2SiRu structure.

Cell: 2.933 2.933 7.343 Å, 90.00 90.00 90.00°
Space group P4/mmm (No. 123)
One atom of each set of equivalent atoms:
Ta1 0.000 0.000 0.245 [2 per cell]
Si1 0.500 0.500 0.500 [1 per cell]
Ru1 0.500 0.500 0.000 [1 per cell]

Calculated values
E = -9.807 eV per atom
total moment = 0.00 μB/cell
energy relative to the elements, uncorrected = -79 kJ/mol of formula units
N(E_F) = 0.961 states/eV per atom


VASP calculation (GGA-PBE) on a geometry-optimized Ta2SiRu2 structure.

Cell: 7.325 7.325 3.063 Å, 90.00 90.00 90.00°
Space group P4/mbm (No. 127)
One atom of each set of equivalent atoms:
Ta1 0.163 0.337 0.000 [4 per cell]
Si1 0.000 0.000 0.500 [2 per cell]
Ru1 0.136 0.636 0.500 [4 per cell]

Calculated values
E = -9.626 eV per atom
total moment = 0.00 μB/cell
energy relative to the elements, uncorrected = -44 kJ/mol of formula units
N(E_F) = 0.327 states/eV per atom


VASP calculation (GGA-PBE) on a geometry-optimized Ta2SiRu structure.

Cell: 2.914 2.914 7.402 Å, 90.00 90.00 90.00°
Space group P4mm (No. 99)
One atom of each set of equivalent atoms:
Ta1 0.000 0.000 0.000 [1 per cell]
Ta2 0.500 0.500 0.317 [1 per cell]
Si1 0.500 0.500 0.751 [1 per cell]
Ru1 0.000 0.000 0.575 [1 per cell]

Calculated values
E = -9.944 eV per atom
total moment = 0.00 μB/cell
energy relative to the elements, uncorrected = -132 kJ/mol of formula units
N(E_F) = 0.549 states/eV per atom


VASP calculation (GGA-PBE) on a geometry-optimized TbTaSi2Ru structure.

Cell: 4.014 4.014 11.025 Å, 90.00 90.00 90.00°
Space group I-4m2 (No. 119)
One atom of each set of equivalent atoms:
Tb1 0.000 0.000 0.000 [2 per cell]
Ta1 0.000 0.500 0.250 [2 per cell]
Si1 0.000 0.000 0.392 [4 per cell]
Ru1 0.000 0.500 0.750 [2 per cell]

Calculated values
E = -7.991 eV per atom
total moment = 0.00 μB/cell
energy relative to the elements, uncorrected = -323 kJ/mol of formula units
N(E_F) = 0.561 states/eV per atom


VASP calculation (GGA-PBE) on a geometry-optimized Th2TaSi2Ru5 structure.

Cell: 10.105 10.105 3.411 Å, 90.00 90.00 90.00°
Space group P4/mbm (No. 127)
One atom of each set of equivalent atoms:
Th1 0.175 0.325 0.000 [4 per cell]
Ta1 0.000 0.000 0.000 [2 per cell]
Si1 0.122 0.622 0.000 [4 per cell]
Ru1 0.000 0.500 0.500 [2 per cell]
Ru2 0.068 0.788 0.500 [8 per cell]

Calculated values
E = -9.001 eV per atom
total moment = 0.00 μB/cell
energy relative to the elements, uncorrected = -588 kJ/mol of formula units
N(E_F) = 0.393 states/eV per atom


VASP calculation (GGA-PBE) on a geometry-optimized TmTaSi2Ru structure.

Cell: 3.991 3.991 10.963 Å, 90.00 90.00 90.00°
Space group I-4m2 (No. 119)
One atom of each set of equivalent atoms:
Tm1 0.000 0.000 0.000 [2 per cell]
Ta1 0.000 0.500 0.250 [2 per cell]
Si1 0.000 0.000 0.393 [4 per cell]
Ru1 0.000 0.500 0.750 [2 per cell]

Calculated values
E = -7.940 eV per atom
total moment = 0.00 μB/cell
energy relative to the elements, uncorrected = -314 kJ/mol of formula units
N(E_F) = 0.540 states/eV per atom


VASP calculation (GGA-PBE) on a geometry-optimized TaVSiRu structure.

Cell: 6.140 6.140 6.140 Å, 90.00 90.00 90.00°
Space group F-43m (No. 216)
One atom of each set of equivalent atoms:
Ta1 0.000 0.000 0.000 [4 per cell]
V1 0.250 0.250 0.250 [4 per cell]
Si1 0.000 0.000 0.500 [4 per cell]
Ru1 0.250 0.250 0.750 [4 per cell]

Calculated values
E = -9.256 eV per atom
total moment = 8.05 μB/cell
energy relative to the elements, uncorrected = -130 kJ/mol of formula units
N(E_F) = 0.762 states/eV per atom


VASP calculation (GGA-PBE) on a geometry-optimized Y2TaSi2Ru5 structure.

Cell: 10.083 10.083 3.230 Å, 90.00 90.00 90.00°
Space group P4/mbm (No. 127)
One atom of each set of equivalent atoms:
Y1 0.174 0.326 0.000 [4 per cell]
Ta1 0.000 0.000 0.000 [2 per cell]
Si1 0.126 0.626 0.000 [4 per cell]
Ru1 0.000 0.500 0.500 [2 per cell]
Ru2 0.067 0.792 0.500 [8 per cell]

Calculated values
E = -8.877 eV per atom
total moment = 0.00 μB/cell
energy relative to the elements, uncorrected = -653 kJ/mol of formula units
N(E_F) = 0.462 states/eV per atom


VASP calculation (GGA-PBE) on a geometry-optimized YTaSi2Ru structure.

Cell: 4.012 4.012 11.018 Å, 90.00 90.00 90.00°
Space group I-4m2 (No. 119)
One atom of each set of equivalent atoms:
Y1 0.000 0.000 0.000 [2 per cell]
Ta1 0.000 0.500 0.250 [2 per cell]
Si1 0.000 0.000 0.392 [4 per cell]
Ru1 0.000 0.500 0.750 [2 per cell]

Calculated values
E = -8.356 eV per atom
total moment = 0.00 μB/cell
energy relative to the elements, uncorrected = -322 kJ/mol of formula units
N(E_F) = 0.571 states/eV per atom


VASP calculation (GGA-PBE) on a geometry-optimized TbSi3Ru5 structure.

Cell: 3.013 13.179 13.935 Å, 90.00 90.00 90.00°
Space group Cmcm (No. 63)
One atom of each set of equivalent atoms:
Tb1 0.000 0.155 0.250 [4 per cell]
Si1 0.000 0.139 0.750 [4 per cell]
Si2 0.000 0.368 0.553 [8 per cell]
Ru1 0.000 0.000 0.000 [4 per cell]
Ru2 0.000 0.193 0.581 [8 per cell]
Ru3 0.000 0.470 0.155 [8 per cell]

Calculated values
E = -7.894 eV per atom
total moment = 0.00 μB/cell
energy relative to the elements, uncorrected = -364 kJ/mol of formula units
N(E_F) = 0.799 states/eV per atom


VASP calculation (GGA-PBE) on a geometry-optimized Tb3Si2Ru structure.

Cell: 11.591 4.165 11.290 Å, 90.00 90.00 90.00°
Space group Pnma (No. 62)
One atom of each set of equivalent atoms:
Tb1 0.058 0.250 0.122 [4 per cell]
Tb2 0.122 0.750 0.556 [4 per cell]
Tb3 0.214 0.250 0.799 [4 per cell]
Si1 0.020 0.750 0.314 [4 per cell]
Si2 0.195 0.750 0.992 [4 per cell]
Ru1 0.129 0.250 0.361 [4 per cell]

Calculated values
E = -6.357 eV per atom
total moment = 0.00 μB/cell
energy relative to the elements, uncorrected = -398 kJ/mol of formula units
N(E_F) = 0.722 states/eV per atom